TaAg2Ru: optimized geometry, GGA-PBE.

Cell and atoms, written as CIF:
```
data_TaAg2Ru
_chemical_formula_sum 'Ta1 Ag2 Ru1'
_symmetry_space_group_name_H-M 'P 1'
_symmetry_Int_Tables_number 1
_cell_length_a 9.585
_cell_length_b 9.585
_cell_length_c 9.585
_cell_angle_alpha 17.35
_cell_angle_beta 17.35
_cell_angle_gamma 17.35
loop_
_symmetry_equiv_pos_as_xyz
'x,y,z'
loop_
_atom_site_label
_atom_site_fract_x
_atom_site_fract_y
_atom_site_fract_z
_atom_site_occupancy
Ta1 0.000 0.000 0.000 1
Ag1 0.245 0.245 0.245 1
Ag2 0.492 0.492 0.492 1
Ru1 0.741 0.741 0.741 1
```

Space-group type ... R3m


Ta3AgRu: optimized geometry, GGA-PBE.

Cell and atoms, written as CIF:
```
data_Ta3AgRu
_chemical_formula_sum 'Ta3 Ag1 Ru1'
_symmetry_space_group_name_H-M 'P 1'
_symmetry_Int_Tables_number 1
_cell_length_a 4.790
_cell_length_b 4.790
_cell_length_c 4.790
_cell_angle_alpha 90.00
_cell_angle_beta 90.00
_cell_angle_gamma 90.00
loop_
_symmetry_equiv_pos_as_xyz
'x,y,z'
loop_
_atom_site_label
_atom_site_fract_x
_atom_site_fract_y
_atom_site_fract_z
_atom_site_occupancy
Ta1 0.000 0.000 0.500 1
Ta2 0.000 0.500 0.000 1
Ta3 0.500 0.000 0.000 1
Ag1 0.500 0.500 0.500 1
Ru1 0.000 0.000 0.000 1
```

Space-group type ... Pm-3m


Energy relative to the lowest polymorph listed for this composition per entry: 55.6; 0.0 meV per atom
VASP energy per entry: -6.521; -8.411 eV/atom